Entry from Alexandria via LeMat-Bulk: a relaxed Na8Hg2Au crystal (PBE).

a b c (Å): 5.275 7.180 9.323
angles (deg): 109.27 106.43 90.00
Element x y z (fractional)
Na 0.399 0.568 0.798
Na 0.657 0.942 0.313
Na 0.803 0.733 0.607
Na 0.983 0.219 0.966
Na 0.197 0.267 0.393
Na 0.343 0.058 0.687
Na 0.601 0.432 0.202
Na 0.017 0.781 0.034
Hg 0.819 0.307 0.638
Hg 0.181 0.693 0.362
Au 0.500 0.000 0.000

Calculated values
**E_form**: -1.971 eV/f.u.
**M_tot**: 0.00 μB/f.u.
**ρ**: 4.084 g cm⁻³
**Fermi-level density of states**: 4.63 states/eV per cell